A plane-wave DFT calculation with PBE-GGA was carried out for GaHgIr2 after structural relaxation.

Results
As for the energy above the most stable polymorph in this dataset: 0 meV per atom. The space-group type is Fm-3m, No. 225. The formation enthalpy at 0 K is 215 meV/atom.

Unit cell a=4.495 b=4.495 c=4.495 alpha=60.00 beta=60.00 gamma=60.00
Fractional coordinates of all 4 atoms:
Ga 0.000 0.000 0.000
Ir 0.750 0.750 0.750
Ir 0.250 0.250 0.250
Hg 0.500 0.500 0.500

A plane-wave DFT calculation with PBE-GGA was carried out for Cu7Te5 after structural relaxation.

Results
As for the energy above the most stable polymorph in this dataset: 96 meV per atom. The space-group type is I4mm, No. 107. The uncorrected formation energy is 187 meV/atom.

Unit cell a=6.764 b=6.764 c=6.764 alpha=109.17 beta=109.17 gamma=110.08
Fractional coordinates of all 12 atoms:
Cu 0.465 0.709 0.756
Cu 0.457 0.957 0.500
Cu 0.953 0.709 0.244
Cu 0.957 0.457 0.500
Cu 0.709 0.465 0.756
Cu 0.709 0.953 0.244
Cu 0.469 0.469 0.000
Te 0.712 0.712 0.502
Te 0.712 0.210 0.000
Te 0.210 0.210 0.498
Te 0.210 0.712 0.000
Te 0.138 0.138 0.000

A plane-wave DFT calculation with PBE-GGA was carried out for CsPuHfO6 after structural relaxation.

Results
The space-group type is Imma, No. 74. The uncorrected formation energy is -2651 meV/atom.

Unit cell a=7.564 b=7.924 c=7.700 alpha=120.97 beta=119.42 gamma=90.00
Last column: magnetic moment on the atom in μB.
Fractional coordinates of all 18 atoms:
O 0.563 0.321 0.758  -0.07
O 0.184 0.934 0.368  -0.03
O 0.816 0.066 0.632  -0.03
O 0.805 0.679 0.242  -0.07
O 0.805 0.063 0.242  -0.07
O 0.432 0.682 0.865  -0.09
O 0.437 0.063 0.242  -0.07
O 0.563 0.937 0.758  -0.07
O 0.437 0.679 0.242  -0.07
O 0.195 0.937 0.758  -0.07
O 0.568 0.318 0.135  -0.09
O 0.195 0.321 0.758  -0.07
Cs 0.887 0.637 0.775  0.00
Cs 0.113 0.363 0.225  0.00
Hf 0.000 0.000 0.500  -0.01
Hf 0.500 0.000 0.500  -0.01
Pu 0.500 0.500 0.000  1.41
Pu 0.500 0.000 0.000  1.41

A plane-wave DFT calculation with PBE-GGA was carried out for Sr2PrBr after structural relaxation.

Results
As for the energy above the most stable polymorph in this dataset: 170 meV per atom. The space-group type is R-3m, No. 166. The uncorrected formation energy is -442 meV/atom.

Unit cell a=3.914 b=3.914 c=12.395 alpha=80.92 beta=80.92 gamma=60.00
Fractional coordinates of all 4 atoms:
Br 0.500 0.500 0.500
Sr 0.898 0.898 0.306
Sr 0.102 0.102 0.694
Pr 0.000 0.000 0.000

A plane-wave DFT calculation with PBE-GGA was carried out for Pm4MgOs after structural relaxation.

Results
As for the energy above the most stable polymorph in this dataset: 51 meV per atom. The space-group type is C2/c, No. 15. The formation enthalpy at 0 K is -84 meV/atom.

Unit cell a=6.275 b=9.368 c=8.081 alpha=115.88 beta=100.05 gamma=111.64
Fractional coordinates of all 12 atoms:
Os 0.249 0.999 0.998
Os 0.751 0.001 0.002
Pm 0.774 0.725 0.665
Pm 0.923 0.806 0.163
Pm 0.740 0.357 0.163
Pm 0.609 0.061 0.335
Pm 0.077 0.194 0.837
Pm 0.391 0.939 0.665
Pm 0.260 0.643 0.837
Pm 0.226 0.275 0.335
Mg 0.370 0.620 0.240
Mg 0.630 0.380 0.760

A plane-wave DFT calculation with PBE-GGA was carried out for MgIrRu after structural relaxation.

Results
As for the energy above the most stable polymorph in this dataset: 364 meV per atom. The space-group type is F-43m, No. 216. The formation enthalpy at 0 K is 247 meV/atom.

Unit cell a=4.216 b=4.216 c=4.216 alpha=60.00 beta=60.00 gamma=60.00
Fractional coordinates of all 3 atoms:
Mg 0.000 0.000 0.000
Ir 0.750 0.750 0.750
Ru 0.500 0.500 0.500

A plane-wave DFT calculation with PBE-GGA was carried out for YTa2Al2 after structural relaxation.

Results
The space-group type is P4/mbm, No. 127. The formation enthalpy at 0 K is -85 meV/atom.

Unit cell a=8.249 b=8.249 c=2.882 alpha=90.00 beta=90.00 gamma=90.00
Last column: magnetic moment on the atom in μB.
Fractional coordinates of all 10 atoms:
Ta 0.884 0.616 0.000  -0.01
Ta 0.116 0.384 0.000  -0.01
Ta 0.384 0.884 0.000  -0.01
Ta 0.616 0.116 0.000  -0.01
Y 0.500 0.500 0.000  0.20
Y 0.000 0.000 0.000  0.20
Al 0.823 0.323 0.500  0.00
Al 0.177 0.677 0.500  0.00
Al 0.677 0.823 0.500  0.00
Al 0.323 0.177 0.500  0.00

A plane-wave DFT calculation with PBE-GGA was carried out for IrF after structural relaxation.

Results
As for the energy above the most stable polymorph in this dataset: 14 meV per atom. The space-group type is Pmmn, No. 59. The uncorrected formation energy is -569 meV/atom.

Unit cell a=2.705 b=6.395 c=9.158 alpha=90.00 beta=90.00 gamma=90.00
Fractional coordinates of all 12 atoms:
F 0.000 0.843 0.647
F 0.500 0.157 0.853
F 0.000 0.843 0.353
F 0.500 0.536 0.500
F 0.000 0.464 0.000
F 0.500 0.157 0.147
Ir 0.000 0.107 0.500
Ir 0.500 0.346 0.678
Ir 0.500 0.893 0.000
Ir 0.500 0.346 0.322
Ir 0.000 0.654 0.822
Ir 0.000 0.654 0.178

A plane-wave DFT calculation with PBE-GGA was carried out for Rb2HgSb4Au3 after structural relaxation.

Results
The space-group type is P-4m2, No. 115. The uncorrected formation energy is -250 meV/atom.

Unit cell a=5.008 b=5.008 c=11.378 alpha=90.00 beta=90.00 gamma=90.00
Fractional coordinates of all 10 atoms:
Au 0.500 0.000 0.877
Au 0.000 0.500 0.123
Au 0.000 0.000 0.500
Rb 0.500 0.000 0.254
Rb 0.000 0.500 0.746
Sb 0.000 0.000 0.000
Sb 0.000 0.500 0.366
Sb 0.500 0.000 0.634
Sb 0.500 0.500 0.000
Hg 0.500 0.500 0.500

A plane-wave DFT calculation with PBE-GGA was carried out for Tb6Sm2In after structural relaxation.

Results
As for the energy above the most stable polymorph in this dataset: 71 meV per atom. The space-group type is Immm, No. 71. The formation enthalpy at 0 K is -18 meV/atom.

Unit cell a=3.505 b=10.211 c=9.645 alpha=121.96 beta=100.43 gamma=90.00
Fractional coordinates of all 9 atoms:
Tb 0.177 0.339 0.354
Tb 0.823 0.985 0.646
Tb 0.177 0.015 0.354
Tb 0.823 0.661 0.646
Tb 0.500 0.700 0.000
Tb 0.500 0.300 0.000
In 0.000 0.000 0.000
Sm 0.847 0.347 0.694
Sm 0.153 0.653 0.306

A plane-wave DFT calculation with PBE-GGA was carried out for PmErAgPt after structural relaxation.

Results
As for the energy above the most stable polymorph in this dataset: 9 meV per atom. The space-group type is F-43m, No. 216. The formation enthalpy at 0 K is -744 meV/atom.

Unit cell a=5.070 b=5.070 c=5.070 alpha=60.00 beta=60.00 gamma=60.00
Fractional coordinates of all 4 atoms:
Pm 0.000 0.000 0.000
Ag 0.750 0.750 0.750
Er 0.500 0.500 0.500
Pt 0.250 0.250 0.250

A plane-wave DFT calculation with PBE-GGA was carried out for AcSiGe2 after structural relaxation.

Results
As for the energy above the most stable polymorph in this dataset: 72 meV per atom. The space-group type is R-3m, No. 166. The uncorrected formation energy is -260 meV/atom.

Unit cell a=4.542 b=4.542 c=5.917 alpha=67.43 beta=67.43 gamma=60.00
Fractional coordinates of all 4 atoms:
Ac 0.500 0.500 0.500
Ge 0.292 0.292 0.125
Ge 0.708 0.708 0.875
Si 0.000 0.000 0.000

A plane-wave DFT calculation with PBE-GGA was carried out for CaSm5Ga3 after structural relaxation.

Results
The space-group type is P6_3/mcm, No. 193. The formation enthalpy at 0 K is -388 meV/atom.

Unit cell a=6.727 b=9.134 c=9.133 alpha=120.00 beta=90.00 gamma=90.00
Fractional coordinates of all 18 atoms:
Ga 0.750 0.333 0.333
Ga 0.250 0.667 0.667
Ga 0.250 0.000 0.333
Ga 0.750 0.000 0.667
Ga 0.250 0.333 0.000
Ga 0.750 0.667 0.000
Sm 0.000 0.333 0.667
Sm 0.750 0.000 0.334
Sm 0.750 0.666 0.666
Sm 0.250 0.334 0.334
Sm 0.500 0.667 0.333
Sm 0.000 0.667 0.333
Sm 0.750 0.334 0.000
Sm 0.250 0.666 0.000
Sm 0.250 0.000 0.666
Sm 0.500 0.333 0.667
Ca 0.500 0.000 0.000
Ca 0.000 0.000 0.000

A plane-wave DFT calculation with PBE-GGA was carried out for PuTh2As3 after structural relaxation.

Results
The space-group type is Immm, No. 71. The formation enthalpy at 0 K is -1302 meV/atom.

Unit cell a=4.239 b=5.980 c=7.306 alpha=114.16 beta=106.86 gamma=90.00
Last column: magnetic moment on the atom in μB.
Fractional coordinates of all 6 atoms:
As 0.163 0.663 0.827  -0.04
As 0.500 0.000 0.500  -0.03
As 0.837 0.337 0.173  -0.04
Th 0.167 0.167 0.835  0.04
Th 0.833 0.833 0.165  0.04
Pu 0.500 0.500 0.500  5.23

A plane-wave DFT calculation with PBE-GGA was carried out for Zr2WC after structural relaxation.

Results
The space-group type is Amm2, No. 38. The formation enthalpy at 0 K is -266 meV/atom.

Unit cell a=3.109 b=5.094 c=5.094 alpha=56.64 beta=90.00 gamma=90.00
Fractional coordinates of all 4 atoms:
W 0.500 0.664 0.664
C 0.000 0.509 0.509
Zr 0.500 0.327 0.327
Zr 0.000 0.000 0.000

A plane-wave DFT calculation with PBE-GGA was carried out for ReNiAu2 after structural relaxation.

Results
As for the energy above the most stable polymorph in this dataset: 383 meV per atom. The space-group type is Pmmm, No. 47. The formation enthalpy at 0 K is 553 meV/atom.

Unit cell a=2.747 b=4.769 c=4.847 alpha=90.00 beta=90.00 gamma=90.00
Last column: magnetic moment on the atom in μB.
Fractional coordinates of all 4 atoms:
Au 0.000 0.000 0.000  0.01
Au 0.500 0.500 0.000  0.03
Ni 0.500 0.000 0.500  0.44
Re 0.000 0.500 0.500  0.62

A plane-wave DFT calculation with PBE-GGA was carried out for TmPd3 after structural relaxation.

Results
The space-group type is I4/mmm, No. 139. The formation enthalpy at 0 K is -821 meV/atom.

Unit cell a=4.144 b=4.144 c=5.007 alpha=114.44 beta=114.44 gamma=90.00
Fractional coordinates of all 4 atoms:
Tm 0.000 0.000 0.000
Pd 0.750 0.250 0.500
Pd 0.250 0.750 0.500
Pd 0.500 0.500 0.000

A plane-wave DFT calculation with PBE-GGA was carried out for KW4Br after structural relaxation.

Results
The space-group type is F-43m, No. 216. The uncorrected formation energy is 1539 meV/atom.

Unit cell a=5.573 b=5.573 c=5.573 alpha=60.00 beta=60.00 gamma=60.00
Fractional coordinates of all 6 atoms:
Br 0.750 0.750 0.750
W 0.380 0.380 0.859
W 0.859 0.380 0.380
W 0.380 0.859 0.380
W 0.380 0.380 0.380
K 0.000 0.000 0.000

A plane-wave DFT calculation with PBE-GGA was carried out for AcCe2Pu after structural relaxation.

Results
As for the energy above the most stable polymorph in this dataset: 125 meV per atom. The space-group type is P4/mmm, No. 123. The formation enthalpy at 0 K is 290 meV/atom.

Unit cell a=3.671 b=5.945 c=5.945 alpha=90.00 beta=90.00 gamma=90.00
Last column: magnetic moment on the atom in μB.
Fractional coordinates of all 4 atoms:
Ce 0.000 0.000 0.500  0.99
Ce 0.000 0.500 0.000  0.99
Pu 0.500 0.500 0.500  5.71
Ac 0.500 0.000 0.000  0.10

A plane-wave DFT calculation with PBE-GGA was carried out for PrH7Rh2Au after structural relaxation.

Results
The space-group type is I-4m2, No. 119.

Unit cell a=3.770 b=3.770 c=8.223 alpha=103.25 beta=103.25 gamma=90.00
Fractional coordinates of all 11 atoms:
H 0.387 0.887 0.774
H 0.611 0.111 0.222
H 0.000 0.000 0.000
H 0.225 0.225 0.451
H 0.113 0.613 0.226
H 0.889 0.389 0.778
H 0.775 0.775 0.549
Rh 0.111 0.111 0.222
Rh 0.889 0.889 0.778
Au 0.250 0.750 0.500
Pr 0.500 0.500 0.000

| no. | calculated total energy (eV/atom) |
| --- | --- |
| 1 | -5.05 |
| 2 | -3.51 |
| 3 | -8.75 |
| 4 | -2.90 |
| 5 | -5.39 |
| 6 | -6.33 |
| 7 | -7.62 |
| 8 | -5.93 |
| 9 | -3.11 |
| 10 | -4.46 |
| 11 | -5.30 |
| 12 | -4.95 |
| 13 | -4.24 |
| 14 | -8.49 |
| 15 | -10.08 |
| 16 | -5.64 |
| 17 | -5.83 |
| 18 | -7.56 |
| 19 | -7.29 |
| 20 | -4.42 |